Below is a relaxed structure of Nd3Re2N6, with properties calculated at the GGA-PBE level.

Results
Total magnetic moment: 0.003 μB/f.u.
DFT total energy: -98.389 eV/cell
Calculated volume: 13.68 Å³ per atom
Mass density: 9.81 g cm⁻³

Lattice parameters (Å, degrees): 10.1808 10.1808 10.1808 157.80 157.80 31.60
Sites, in units of the cell vectors:
Nd 0.0000 0.0000 0.0000
Nd 0.1853 0.1853 0.0000
Nd 0.8147 0.8147 0.0000
Re 0.4091 0.4091 0.0000
Re 0.5909 0.5909 0.0000
N 0.0871 0.5871 0.5000
N 0.3032 0.3032 0.0000
N 0.4129 0.9129 0.5000
N 0.5871 0.0871 0.5000
N 0.6968 0.6968 0.0000
N 0.9129 0.4129 0.5000